# La3CdNi | the Alexandria database | PBE-GGA | relaxed
data_La3CdNi
_space_group_name_H-M_alt 'C 1 2/m 1'
_space_group_IT_number 12
_cell_length_a 10.352
_cell_length_b 6.976
_cell_length_c 9.205
_cell_angle_alpha 90.00
_cell_angle_beta 120.23
_cell_angle_gamma 90.00
loop_
_space_group_symop_operation_xyz
'x,y,z'
'-x,-y,-z'
'-x,y,-z'
'x,-y,z'
'x+1/2,y+1/2,z'
'-x+1/2,-y+1/2,-z'
'-x+1/2,y+1/2,-z'
'x+1/2,-y+1/2,z'
loop_
_atom_site_label
_atom_site_type_symbol
_atom_site_fract_x
_atom_site_fract_y
_atom_site_fract_z
La1 La 0.074 0.000 0.248
La2 La 0.189 0.500 0.903
La3 La 0.203 0.500 0.309
Cd1 Cd 0.000 0.293 0.500
Ni1 Ni 0.000 0.300 0.000
# Calculated volume in Å³/cell: 574.43
# VASP energy in eV per atom: -4.55
# Offset from the most stable computed form in eV/atom: 0.0000
# ΔE_f in eV per atom: -0.255
# Crystal system: monoclinic